This record from Alexandria describes a relaxed structure of CsRb2CdPb. The functional is PBE.

```
CsRb2CdPb
1.0
7.152 0.000 0.000
0.000 7.152 0.000
0.000 0.000 5.753
Cs Cd Rb Pb
1 1 2 1
direct
0.500 0.500 0.500
0.000 0.000 0.000
0.500 0.000 0.000
0.000 0.500 0.000
0.000 0.000 0.500
```

Properties
Total moment (μB per cell): 0.38
Offset from the most stable computed form (meV/atom): 0
Theoretical density (g/cm3): 3.5


This record from Alexandria describes a relaxed structure of CsRbCdPb. The functional is PBE.

```
CsRbCdPb
1.0
-0.422 -5.257 1.382
4.295 1.725 -2.879
0.945 1.959 7.741
Pb Cd Rb Cs
1 1 1 1
direct
0.078 0.156 0.875
0.412 0.825 0.880
0.839 0.678 0.159
0.637 0.274 0.553
```

Properties
Total moment (μB per cell): 0.00
Offset from the most stable computed form (meV/atom): 0
Theoretical density (g/cm3): 4.7


This record from Alexandria describes a relaxed structure of CsRbCdPb. The functional is PBE.

```
CsRbCdPb
1.0
6.063 0.000 0.000
3.031 5.251 0.000
3.031 1.750 4.950
Rb Cd Cs Pb
1 1 1 1
direct
0.250 0.250 0.250
0.750 0.750 0.750
0.500 0.500 0.500
0.000 0.000 0.000
```

Properties
Total moment (μB per cell): 0.00
Offset from the most stable computed form (meV/atom): 108
Theoretical density (g/cm3): 5.7


This record from Alexandria describes a relaxed structure of CsRb2CdPb. The functional is PBE.

```
CsRb2CdPb
1.0
7.364 0.000 0.000
0.000 7.364 0.000
0.000 0.000 5.854
Rb Cs Pb Cd
2 1 1 1
direct
0.500 0.000 0.000
0.000 0.500 0.000
0.500 0.500 0.500
0.000 0.000 0.000
0.000 0.000 0.500
```

Properties
Total moment (μB per cell): 0.18
Offset from the most stable computed form (meV/atom): 3
Theoretical density (g/cm3): 3.3


> What is the total moment in the first record?

0.38 μB per cell


What did the fourth record say?
This record from Alexandria describes a relaxed structure of CsRb2CdPb. The functional is PBE.

```
CsRb2CdPb
1.0
7.364 0.000 0.000
0.000 7.364 0.000
0.000 0.000 5.854
Rb Cs Pb Cd
2 1 1 1
direct
0.500 0.000 0.000
0.000 0.500 0.000
0.500 0.500 0.500
0.000 0.000 0.000
0.000 0.000 0.500
```

Properties
Total moment (μB per cell): 0.18
Offset from the most stable computed form (meV/atom): 3
Theoretical density (g/cm3): 3.3